This record from the Alexandria database describes a relaxed structure of PrPaSi. The functional is PBE.

Cell lengths 5.746, 5.746, 10.835 Å; angles 90.00, 90.00, 106.10 degrees
Element x y z (fractional)
Pa (0.830, 0.830, 0.724)
Pa (0.670, 0.670, 0.224)
Pa (0.170, 0.170, 0.276)
Pa (0.330, 0.330, 0.776)
Si (0.656, 0.656, 0.957)
Si (0.844, 0.844, 0.457)
Si (0.344, 0.344, 0.043)
Si (0.156, 0.156, 0.543)
Pr (0.696, 0.304, 0.500)
Pr (0.304, 0.696, 0.500)
Pr (0.196, 0.804, 0.000)
Pr (0.804, 0.196, 0.000)

Properties
- energy above the most stable polymorph in this dataset (meV per atom) = 0
- space-group type = Cmce, No. 64


This record from the Alexandria database describes a relaxed structure of SrOs2Br2. The functional is PBE.

Cell lengths 8.330, 8.330, 3.301 Å; angles 90.00, 90.00, 90.00 degrees
Site moments in Bohr magnetons follow the coordinates.
Element x y z (fractional)
Br (0.266, 0.234, 0.500)  0.01
Br (0.734, 0.766, 0.500)  0.01
Br (0.234, 0.734, 0.500)  0.01
Br (0.766, 0.266, 0.500)  0.01
Os (0.598, 0.098, 0.000)  0.35
Os (0.098, 0.402, 0.000)  0.34
Os (0.402, 0.902, 0.000)  0.35
Os (0.902, 0.598, 0.000)  0.34
Sr (0.000, 0.000, 0.000)  0.07
Sr (0.500, 0.500, 0.000)  0.07

Properties
- energy above the most stable polymorph in this dataset (meV per atom) = 310
- space-group type = P4/mbm, No. 127


This record from the Alexandria database describes a relaxed structure of NaPm5Se8. The functional is PBE.

Cell lengths 7.712, 7.712, 7.712 Å; angles 109.53, 109.36, 109.53 degrees
Element x y z (fractional)
Se (0.126, 0.750, 0.027)
Se (0.486, 0.606, 0.240)
Se (0.277, 0.250, 0.375)
Se (0.120, 0.754, 0.514)
Se (0.973, 0.099, 0.723)
Se (0.634, 0.394, 0.880)
Se (0.760, 0.246, 0.366)
Se (0.625, 0.901, 0.874)
Pm (0.749, 0.625, 0.632)
Pm (0.500, 0.000, 0.500)
Pm (0.007, 0.375, 0.124)
Pm (0.876, 0.882, 0.251)
Pm (0.368, 0.118, 0.993)
Na (0.250, 0.500, 0.750)

Properties
- space-group type = I-4, No. 82


no.,electronic total energy (eV/atom),total magnetization (μB per atom),uncorrected formation energy (meV/atom)
1,-6.54,0.000,23
2,-4.68,0.199,818
3,-5.62,0.000,-1834